FeNi2Pd7 (PBE-GGA, optimized geometry); space-group type = Cmmm (65); total energy = -5.1337 eV per atom; magnetic moment = 7.384 μB/cell; DOS at the Fermi energy = 1.3954 states/eV/atom; calculated formation energy = 486 kJ/mol of formula units
1.0
4.111 0.000 0.000
0.000 7.116 -0.181
0.000 -3.302 6.307
Pd Ni Fe
7 2 1
Direct
0.500 0.299 0.074 Pd
0.000 0.793 0.207 Pd
0.500 0.500 0.500 Pd
0.500 0.926 0.701 Pd
0.500 0.074 0.299 Pd
0.000 0.207 0.793 Pd
0.500 0.701 0.926 Pd
0.500 0.696 0.304 Ni
0.500 0.304 0.696 Ni
0.000 0.000 0.000 Fe